No. 1
# ZrCrSi

A relaxed structure of ZrCrSi (PBE, Alexandria).

## Properties
**ΔE_f (raw)**: -221 meV/atom
**Magnetic moment**: 0.08 μB per formula unit
**Calculated density**: 6.04 g cm⁻³

Lattice parameters (Å, degrees): 5.0806 5.0806 5.0806 143.06 143.06 53.24
Sites, in units of the cell vectors:
Zr 0.0000 0.0000 0.0000
Cr 0.3111 0.3111 0.0000
Si 0.6959 0.6959 0.0000

No. 2
# Zr2CrSi

A relaxed structure of Zr2CrSi (PBE, Alexandria).

## Properties
**Energy above the lowest structure with this stoichiometry**: 477 meV per atom
**ΔE_f (raw)**: 87 meV/atom
**Magnetic moment**: 0.33 μB per formula unit
**Calculated density**: 5.82 g cm⁻³

Lattice parameters (Å, degrees): 7.8869 7.8869 7.8869 24.62 24.62 24.62
Sites, in units of the cell vectors:
Zr 0.0000 0.0000 0.0000
Zr 0.2227 0.2227 0.2227
Cr 0.4707 0.4707 0.4707
Si 0.7486 0.7486 0.7486

No. 3
# ZrCrSi

A relaxed structure of ZrCrSi (PBE, Alexandria).

## Properties
**ΔE_f (raw)**: -549 meV/atom
**Magnetic moment**: 0.00 μB per formula unit
**Calculated density**: 6.01 g cm⁻³

Lattice parameters (Å, degrees): 5.2798 5.2798 5.3176 90.00 90.00 140.33
Sites, in units of the cell vectors:
Zr 0.1915 0.8085 0.7500
Zr 0.8085 0.1915 0.2500
Cr 0.5000 0.5000 0.0000
Cr 0.5000 0.5000 0.5000
Si 0.0988 0.9012 0.2500
Si 0.9012 0.0988 0.7500

What is the formula in the second record?
Zr2CrSi